[1]
Computed, not measured: a PBEsol-optimized structure of CdGa2Ag2 at the SCAN level of DFT.

Values from the calculation:
**Total magnetic moment**: 0.0 μB/cell
**Symmetry**: I4/mmm
**Calculated volume**: 18.24 A^3/atom
**Energy of formation**: 6 kJ per mole of atoms

Unit cell a=3.6919 b=3.6919 c=7.1816 alpha=104.89 beta=104.89 gamma=90.00
Closest atoms and distances in Å follow each position.
Element x y z (fractional)
Cd (0.0000, 0.0000, 0.0000)  8 Ag 2.94
Ag (0.6018, 0.6018, 0.2037)  4 Ga 2.71, 1 Ag 2.73, 4 Cd 2.94
Ag (0.3982, 0.3982, 0.7963)  4 Ga 2.71, 1 Ag 2.73, 4 Cd 2.94
Ga (0.7500, 0.2500, 0.5000)  4 Ga 2.61, 4 Ag 2.71
Ga (0.2500, 0.7500, 0.5000)  4 Ga 2.61, 4 Ag 2.71


[2]
Computed, not measured: a PBEsol-optimized structure of CdGa2Ag2 at the SCAN level of DFT.

Values from the calculation:
**Total magnetic moment**: 0.0 μB/cell
**Symmetry**: P4/mbm
**Calculated volume**: 18.00 A^3/atom
**Energy of formation**: 9 kJ per mole of atoms

Unit cell a=2.8732 b=7.9161 c=7.9161 alpha=90.00 beta=90.00 gamma=90.00
Closest atoms and distances in Å follow each position.
Element x y z (fractional)
Ag (0.0000, 0.6267, 0.1267)  6 Ga 2.67-2.79, 3 Ag 2.84-2.87
Ag (0.0000, 0.1267, 0.3733)  6 Ga 2.67-2.79, 3 Ag 2.84-2.87
Ag (0.0000, 0.8733, 0.6267)  6 Ga 2.67-2.79, 3 Ag 2.84-2.87
Ag (0.0000, 0.3733, 0.8733)  6 Ga 2.67-2.79, 3 Ag 2.84-2.87
Ga (0.5000, 0.3274, 0.1726)  6 Ag 2.67-2.79, 2 Ga 2.87
Ga (0.5000, 0.6726, 0.8274)  6 Ag 2.67-2.79, 2 Ga 2.87
Ga (0.5000, 0.8274, 0.3274)  6 Ag 2.67-2.79, 2 Ga 2.87
Ga (0.5000, 0.1726, 0.6726)  6 Ag 2.67-2.79, 2 Ga 2.87
Cd (0.0000, 0.5000, 0.5000)  2 Cd 2.87, 4 Ag 3.12
Cd (0.0000, 0.0000, 0.0000)  2 Cd 2.87, 4 Ag 3.12


[3]
Computed, not measured: a PBEsol-optimized structure of Cd2GaAgSe2S2 at the SCAN level of DFT.

Values from the calculation:
**Total magnetic moment**: 0.0 μB/cell
**Symmetry**: Cm
**Final energy**: -1.584 Ry per atom
**Calculated volume**: 24.31 A^3/atom

Unit cell a=4.0515 b=7.1310 c=7.7523 alpha=114.92 beta=105.15 gamma=90.00
Closest atoms and distances in Å follow each position.
Element x y z (fractional)
Cd (0.1677, 0.4931, 0.3354)  1 S 2.53, 3 Se 2.56-2.71
Cd (0.6908, 0.0527, 0.3816)  1 S 2.51, 3 Se 2.54-2.63
Ga (0.4375, 0.0803, 0.8749)  3 S 2.25-2.43, 1 Se 2.43
S (0.5049, 0.8527, 0.0097)  1 Ga 2.25, 2 Ag 2.50, 1 Cd 2.51
S (0.9804, 0.2903, 0.9609)  2 Ga 2.43, 1 Cd 2.53, 1 Ag 2.56
Se (0.2573, 0.9147, 0.5147)  1 Ga 2.43, 3 Cd 2.63-2.71
Se (0.7605, 0.4471, 0.5210)  3 Cd 2.54-2.56, 1 Ag 2.62
Ag (0.9550, 0.6234, 0.9100)  3 S 2.50-2.56, 1 Se 2.62